No. 1
First-principles (meta-GGA SCAN) data for a crystal of BeCoCu2 relaxed with PBEsol, as listed in the Alexandria database.

The structure in POSCAR format:
```
BeCoCu2
1.0
-0.9336 1.9119 1.1569
-1.4851 -2.1396 2.3375
3.9654 0.2651 2.7620
Be Co Cu
1 1 2
Direct
0.5000 0.5000 0.0000 Be
0.5000 0.5000 0.5000 Co
0.0000 0.0000 0.7562 Cu
0.0000 0.0000 0.2438 Cu
```

Properties
**Total magnetic moment**: 1.54 μB/cell
**Space-group type**: Pmmm, No. 47
**Energy**: -12.96 eV/atom

No. 2
First-principles (meta-GGA SCAN) data for a crystal of SrMgTc2 relaxed with PBEsol, as listed in the Alexandria database.

The structure in POSCAR format:
```
SrMgTc2
1.0
4.6929 0.0000 0.0000
2.3465 4.0642 0.0000
2.3465 1.3547 3.8318
Mg Sr Tc
1 1 2
Direct
0.5000 0.5000 0.5000 Mg
0.2500 0.2500 0.2500 Sr
0.0000 0.0000 0.0000 Tc
0.7500 0.7500 0.7500 Tc
```

Properties
**Total magnetic moment**: 0.00 μB/cell
**Space-group type**: F-43m, No. 216
**Energy**: -23.60 eV/atom

No. 3
First-principles (meta-GGA SCAN) data for a crystal of RbAg3Sb relaxed with PBEsol, as listed in the Alexandria database.

The structure in POSCAR format:
```
RbAg3Sb
1.0
5.3595 0.0000 0.0000
0.0000 5.3595 0.0000
0.0000 0.0000 5.3595
Sb Rb Ag
1 1 3
Direct
0.5000 0.5000 0.5000 Sb
0.0000 0.0000 0.0000 Rb
0.0000 0.5000 0.0000 Ag
0.0000 0.0000 0.5000 Ag
0.5000 0.0000 0.0000 Ag
```

Properties
**Total magnetic moment**: 0.00 μB/cell
**Space-group type**: Pm-3m, No. 221
**ΔE_f (raw)**: 1392 meV per atom
**Energy**: -29.03 eV/atom
**Energy above the lowest structure with this stoichiometry**: 1.269 eV/atom

No. 4
First-principles (meta-GGA SCAN) data for a crystal of OsO2F4 relaxed with PBEsol, as listed in the Alexandria database.

The structure in POSCAR format:
```
OsO2F4
1.0
9.4489 0.0000 0.0000
-4.7245 8.1830 0.0000
0.0000 0.0000 10.7428
Os O F
6 12 24
Direct
0.5810 0.0792 0.3199 Os
0.9208 0.5018 0.6532 Os
0.5018 0.5810 0.4865 Os
0.4982 0.4190 0.9865 Os
0.0792 0.4982 0.1532 Os
0.4190 0.9208 0.8199 Os
0.3249 0.8894 0.6786 O
0.4256 0.8823 0.3048 O
0.4567 0.5744 0.9715 O
0.5646 0.6751 0.3453 O
0.1177 0.5433 0.6382 O
0.1106 0.4354 0.0120 O
0.8894 0.5646 0.5120 O
0.8823 0.4567 0.1382 O
0.4354 0.3249 0.8453 O
0.5433 0.4256 0.4715 O
0.5744 0.1177 0.8048 O
0.6751 0.1106 0.1786 O
0.2772 0.9781 0.8960 F
0.1660 0.7159 0.1080 F
0.2999 0.5609 0.1964 F
0.9119 0.4270 0.8194 F
0.5151 0.0881 0.4860 F
0.5500 0.8340 0.7747 F
0.7008 0.7228 0.5626 F
0.4391 0.7391 0.5298 F
0.2609 0.7001 0.8631 F
0.7159 0.5500 0.9413 F
0.9781 0.7008 0.7293 F
0.5730 0.4849 0.1527 F
0.4270 0.5151 0.6527 F
0.0219 0.2992 0.2293 F
0.2841 0.4500 0.4413 F
0.7391 0.2999 0.3631 F
0.5609 0.2609 0.0298 F
0.2992 0.2772 0.0626 F
0.4500 0.1660 0.2747 F
0.4849 0.9119 0.9860 F
0.0881 0.5730 0.3194 F
0.7001 0.4391 0.6964 F
0.8340 0.2841 0.6080 F
0.7228 0.0219 0.3960 F
```

Properties
**Total magnetic moment**: 0.00 μB/cell
**Space-group type**: P6_1, No. 169
**ΔE_f (raw)**: -1342 meV per atom
**Energy**: -15.41 eV/atom

No. 5
First-principles (meta-GGA SCAN) data for a crystal of Y2SbW relaxed with PBEsol, as listed in the Alexandria database.

The structure in POSCAR format:
```
Y2SbW
1.0
-2.4991 1.5458 -2.3183
-0.7498 -3.3724 -1.4404
-4.6713 -0.8657 4.4583
Sb W Y
1 1 2
Direct
0.5000 0.5000 0.0000 Sb
0.5000 0.5000 0.5000 W
0.0000 0.0000 0.7419 Y
0.0000 0.0000 0.2581 Y
```

Properties
**Total magnetic moment**: 0.00 μB/cell
**Space-group type**: P4/mmm, No. 123
**ΔE_f (raw)**: -80 meV per atom
**Energy**: -40.74 eV/atom

No. 6
First-principles (meta-GGA SCAN) data for a crystal of Hf2InSiPt relaxed with PBEsol, as listed in the Alexandria database.

The structure in POSCAR format:
```
Hf2InSiPt
1.0
4.4612 0.0000 0.0000
0.0000 4.8419 0.0000
0.0000 0.0000 4.8419
Si Hf Pt In
1 2 1 1
Direct
0.0000 0.0000 0.0000 Si
0.0000 0.0000 0.5000 Hf
0.0000 0.5000 0.0000 Hf
0.5000 0.0000 0.0000 Pt
0.5000 0.5000 0.5000 In
```

Properties
**Total magnetic moment**: 0.00 μB/cell
**Space-group type**: P4/mmm, No. 123
**ΔE_f (raw)**: -31 meV per atom
**Energy**: -47.82 eV/atom

No. 7
First-principles (meta-GGA SCAN) data for a crystal of LaSeCl2 relaxed with PBEsol, as listed in the Alexandria database.

The structure in POSCAR format:
```
LaSeCl2
1.0
4.3385 0.0000 0.0000
0.0000 4.3483 0.0000
-2.1693 -2.1741 4.6362
Cl Se La
2 1 1
Direct
0.0004 0.0004 0.0007 Cl
0.7506 0.2506 0.5012 Cl
0.2498 0.7498 0.4996 Se
0.4993 0.4993 0.9986 La
```

Properties
**Total magnetic moment**: 0.00 μB/cell
**Space-group type**: Imm2, No. 44
**ΔE_f (raw)**: -1709 meV per atom
**Energy**: -21.49 eV/atom
**Energy above the lowest structure with this stoichiometry**: 0.019 eV/atom

No. 8
First-principles (meta-GGA SCAN) data for a crystal of Bi5BrO7 relaxed with PBEsol, as listed in the Alexandria database.

The structure in POSCAR format:
```
Bi5BrO7
1.0
-0.3941 -3.5525 -3.8706
7.8063 -0.4515 3.2052
-7.1430 -15.7452 15.1788
Bi Br O
20 4 28
Direct
0.0593 0.6639 0.0595 Bi
0.2874 0.0000 0.1985 Bi
0.7874 0.0000 0.3015 Bi
0.6230 0.6509 0.1893 Bi
0.3770 0.3491 0.8107 Bi
0.4721 0.3491 0.3107 Bi
0.8770 0.3491 0.6893 Bi
0.5593 0.6639 0.4405 Bi
0.4407 0.3361 0.5595 Bi
0.9721 0.3491 0.1893 Bi
0.5279 0.6509 0.6893 Bi
0.9407 0.3361 0.9405 Bi
0.2126 0.0000 0.6985 Bi
0.1046 0.6639 0.5595 Bi
0.6046 0.6639 0.9405 Bi
0.3954 0.3361 0.0595 Bi
0.8954 0.3361 0.4405 Bi
0.0279 0.6509 0.8107 Bi
0.7126 0.0000 0.8015 Bi
0.1230 0.6509 0.3107 Bi
0.3232 0.0000 0.3988 Br
0.8232 0.0000 0.1012 Br
0.6768 0.0000 0.6012 Br
0.1768 0.0000 0.8988 Br
0.5971 0.6291 0.8491 O
0.7695 0.5000 0.2500 O
0.9681 0.3709 0.8491 O
0.2305 0.5000 0.7500 O
0.3869 0.8358 0.7473 O
0.5511 0.1642 0.7473 O
0.4681 0.3709 0.6509 O
0.0374 0.4064 0.0510 O
0.0971 0.6291 0.6509 O
0.1311 0.5936 0.4490 O
0.9626 0.5936 0.9490 O
0.2695 0.5000 0.2500 O
0.4489 0.8358 0.2527 O
0.8869 0.8358 0.7527 O
0.6311 0.5936 0.0510 O
0.9029 0.3709 0.3491 O
0.3689 0.4064 0.9490 O
0.9489 0.8358 0.2473 O
0.1131 0.1642 0.2473 O
0.7305 0.5000 0.7500 O
0.0319 0.6291 0.1509 O
0.0511 0.1642 0.7527 O
0.4029 0.3709 0.1509 O
0.6131 0.1642 0.2527 O
0.5319 0.6291 0.3491 O
0.5374 0.4064 0.4490 O
0.4626 0.5936 0.5510 O
0.8689 0.4064 0.5510 O
```

Properties
**Total magnetic moment**: 0.00 μB/cell
**Space-group type**: Cmce, No. 64
**ΔE_f (raw)**: -1128 meV per atom
**Energy**: -36.20 eV/atom

No. 9
First-principles (meta-GGA SCAN) data for a crystal of Rb2MnTl relaxed with PBEsol, as listed in the Alexandria database.

The structure in POSCAR format:
```
Rb2MnTl
1.0
-3.9325 -3.5810 2.8735
0.3715 -6.0026 -0.6131
1.8455 -3.4041 4.6424
Tl Mn Rb
1 1 2
Direct
0.5000 0.5000 0.5000 Tl
0.0000 0.0000 0.0000 Mn
0.2500 0.2500 0.2500 Rb
0.7500 0.7500 0.7500 Rb
```

Properties
**Total magnetic moment**: 3.45 μB/cell
**Space-group type**: Fm-3m, No. 225
**Energy**: -32.59 eV/atom

No. 10
First-principles (meta-GGA SCAN) data for a crystal of NaTlCd2 relaxed with PBEsol, as listed in the Alexandria database.

The structure in POSCAR format:
```
NaTlCd2
1.0
5.1139 0.0000 0.0000
2.5570 4.4288 0.0000
2.5570 1.4763 4.1755
Na Tl Cd
1 1 2
Direct
0.0000 0.0000 0.0000 Na
0.5000 0.5000 0.5000 Tl
0.2500 0.2500 0.2500 Cd
0.7500 0.7500 0.7500 Cd
```

Properties
**Total magnetic moment**: 0.00 μB/cell
**Space-group type**: Fm-3m, No. 225
**Energy**: -34.41 eV/atom

No. 11
First-principles (meta-GGA SCAN) data for a crystal of SiNiRh2 relaxed with PBEsol, as listed in the Alexandria database.

The structure in POSCAR format:
```
SiNiRh2
1.0
-0.3936 -2.3065 -1.3881
4.3009 0.3694 0.8329
-1.7277 -1.9496 3.7294
Ni Rh Si
1 2 1
Direct
0.0000 0.0000 0.5000 Ni
0.7658 0.5317 0.7555 Rh
0.2342 0.4683 0.2445 Rh
0.5000 0.0000 0.0000 Si
```

Properties
**Total magnetic moment**: 0.70 μB/cell
**Space-group type**: C2/m, No. 12
**ΔE_f (raw)**: -403 meV per atom
**Energy**: -23.84 eV/atom

No. 12
First-principles (meta-GGA SCAN) data for a crystal of Mg2TaP relaxed with PBEsol, as listed in the Alexandria database.

The structure in POSCAR format:
```
Mg2TaP
1.0
4.5418 0.0000 0.0000
2.2709 3.9333 0.0000
2.2709 1.3111 3.7083
Mg P Ta
2 1 1
Direct
0.0000 0.0000 0.0000 Mg
0.7500 0.7500 0.7500 Mg
0.5000 0.5000 0.5000 P
0.2500 0.2500 0.2500 Ta
```

Properties
**Total magnetic moment**: 0.00 μB/cell
**Space-group type**: F-43m, No. 216
**Energy**: -21.37 eV/atom

No. 13
First-principles (meta-GGA SCAN) data for a crystal of SbTeAu2 relaxed with PBEsol, as listed in the Alexandria database.

The structure in POSCAR format:
```
SbTeAu2
1.0
-1.5261 -2.5822 2.4450
-1.6368 -1.8522 -2.9777
4.7944 -3.3537 -0.5493
Au Sb Te
2 1 1
Direct
0.0000 0.0000 0.7566 Au
0.0000 0.0000 0.2434 Au
0.5000 0.5000 0.0000 Sb
0.5000 0.5000 0.5000 Te
```

Properties
**Total magnetic moment**: 0.00 μB/cell
**Space-group type**: P4/mmm, No. 123
**ΔE_f (raw)**: 225 meV per atom
**Energy**: -52.98 eV/atom
**Energy above the lowest structure with this stoichiometry**: 0.375 eV/atom

No. 14
First-principles (meta-GGA SCAN) data for a crystal of Hg3PS relaxed with PBEsol, as listed in the Alexandria database.

The structure in POSCAR format:
```
Hg3PS
1.0
5.0068 0.0000 0.0000
0.0000 5.0068 0.0000
0.0000 0.0000 5.0068
P S Hg
1 1 3
Direct
0.5000 0.5000 0.5000 P
0.0000 0.0000 0.0000 S
0.0000 0.5000 0.0000 Hg
0.0000 0.0000 0.5000 Hg
0.5000 0.0000 0.0000 Hg
```

Properties
**Total magnetic moment**: 0.89 μB/cell
**Space-group type**: Pm-3m, No. 221
**ΔE_f (raw)**: 790 meV per atom
**Energy**: -44.11 eV/atom

No. 15
First-principles (meta-GGA SCAN) data for a crystal of SrCdP4O12 relaxed with PBEsol, as listed in the Alexandria database.

The structure in POSCAR format:
```
SrCdP4O12
1.0
7.0919 0.0000 0.0125
0.0000 9.0813 0.0000
-0.2535 0.0000 14.8275
Sr Cd P O
4 4 16 48
Direct
0.5165 0.6070 0.8653 Sr
0.9835 0.1070 0.6347 Sr
0.4835 0.3930 0.1347 Sr
0.0165 0.8930 0.3653 Sr
0.0000 0.2412 0.1544 Cd
0.5000 0.7412 0.3456 Cd
0.0000 0.7588 0.8456 Cd
0.5000 0.2588 0.6544 Cd
0.3645 0.9888 0.1762 P
0.1355 0.4888 0.3238 P
0.6355 0.0112 0.8238 P
0.8645 0.5112 0.6762 P
0.2696 0.7425 0.0444 P
0.2304 0.2425 0.4556 P
0.7304 0.2575 0.9556 P
0.7696 0.7575 0.5444 P
0.8640 0.6579 0.0610 P
0.6360 0.1579 0.4390 P
0.1360 0.3421 0.9390 P
0.3640 0.8421 0.5610 P
0.7698 0.9011 0.1807 P
0.7302 0.4011 0.3193 P
0.2302 0.0989 0.8193 P
0.2698 0.5989 0.6807 P
0.3206 0.9055 0.2607 O
0.1794 0.4055 0.2393 O
0.6794 0.0945 0.7393 O
0.8206 0.5945 0.7607 O
0.3012 0.1455 0.1659 O
0.1988 0.6455 0.3341 O
0.6988 0.8545 0.8341 O
0.8012 0.3545 0.6659 O
0.2910 0.9033 0.0881 O
0.2090 0.4033 0.4119 O
0.7090 0.0967 0.9119 O
0.7910 0.5967 0.5881 O
0.4284 0.6429 0.0713 O
0.0716 0.1429 0.4287 O
0.5716 0.3571 0.9287 O
0.9284 0.8571 0.5713 O
0.2456 0.7682 0.9447 O
0.2544 0.2682 0.5553 O
0.7544 0.2318 0.0553 O
0.7456 0.7318 0.4447 O
0.0823 0.6817 0.0893 O
0.4177 0.1817 0.4107 O
0.9177 0.3183 0.9107 O
0.5823 0.8183 0.5893 O
0.7805 0.8183 0.0858 O
0.7195 0.3183 0.4142 O
0.2195 0.1817 0.9142 O
0.2805 0.6817 0.5858 O
0.8391 0.6464 0.9600 O
0.6609 0.1464 0.5400 O
0.1609 0.3536 0.0400 O
0.3391 0.8536 0.4600 O
0.7917 0.5370 0.1182 O
0.7083 0.0370 0.3818 O
0.2083 0.4630 0.8818 O
0.2917 0.9630 0.6182 O
0.9367 0.0012 0.1945 O
0.5633 0.5012 0.3055 O
0.0633 0.9988 0.8055 O
0.4367 0.4988 0.6945 O
0.5873 0.9981 0.1624 O
0.9127 0.4981 0.3376 O
0.4127 0.0019 0.8376 O
0.0873 0.5019 0.6624 O
0.7460 0.7923 0.2562 O
0.7540 0.2923 0.2438 O
0.2540 0.2077 0.7438 O
0.2460 0.7077 0.7562 O
```

Properties
**Total magnetic moment**: 0.36 μB/cell
**Space-group type**: P2_1/c, No. 14
**ΔE_f (raw)**: -2515 meV per atom
**Energy**: -11.91 eV/atom

No. 16
First-principles (meta-GGA SCAN) data for a crystal of SrTcW2 relaxed with PBEsol, as listed in the Alexandria database.

The structure in POSCAR format:
```
SrTcW2
1.0
3.0310 0.0000 0.0000
0.0000 3.0310 0.0000
0.0000 0.0000 8.3720
Sr Tc W
1 1 2
Direct
0.5000 0.5000 0.0000 Sr
0.5000 0.5000 0.5000 Tc
0.0000 0.0000 0.6845 W
0.0000 0.0000 0.3155 W
```

Properties
**Total magnetic moment**: 0.00 μB/cell
**Space-group type**: P4/mmm, No. 123
**Energy**: -48.30 eV/atom
**Energy above the lowest structure with this stoichiometry**: 0.000 eV/atom

No. 17
First-principles (meta-GGA SCAN) data for a crystal of TiGa3Au relaxed with PBEsol, as listed in the Alexandria database.

The structure in POSCAR format:
```
TiGa3Au
1.0
4.8118 0.0000 0.0000
0.0000 4.8118 0.0000
0.0000 0.0000 4.8118
Au Ga Ti
1 3 1
Direct
0.0000 0.0000 0.0000 Au
0.0000 0.5000 0.0000 Ga
0.0000 0.0000 0.5000 Ga
0.5000 0.0000 0.0000 Ga
0.5000 0.5000 0.5000 Ti
```

Properties
**Total magnetic moment**: 2.36 μB/cell
**Space-group type**: Pm-3m, No. 221
**Energy**: -26.32 eV/atom

No. 18
First-principles (meta-GGA SCAN) data for a crystal of K2AlW relaxed with PBEsol, as listed in the Alexandria database.

The structure in POSCAR format:
```
K2AlW
1.0
-1.5385 -1.9245 1.1515
0.2268 -3.4498 -5.4626
5.3260 -2.9941 2.1121
K Al W
2 1 1
Direct
0.0000 0.0000 0.5000 K
0.0000 0.5000 0.0000 K
0.5000 0.0000 0.0000 Al
0.5000 0.5000 0.5000 W
```

Properties
**Total magnetic moment**: 2.21 μB/cell
**Space-group type**: P4/mmm, No. 123
**Energy**: -21.96 eV/atom

No. 19
First-principles (meta-GGA SCAN) data for a crystal of SrBe2Cl relaxed with PBEsol, as listed in the Alexandria database.

The structure in POSCAR format:
```
SrBe2Cl
1.0
3.4754 0.0000 0.0000
1.7377 3.0097 0.0000
1.7377 1.0032 8.1398
Sr Be Cl
1 2 1
Direct
0.0000 0.0000 0.0000 Sr
0.2343 0.2343 0.2972 Be
0.7657 0.7657 0.7028 Be
0.5000 0.5000 0.5000 Cl
```

Properties
**Total magnetic moment**: 0.00 μB/cell
**Space-group type**: R-3m, No. 166
**ΔE_f (raw)**: 574 meV per atom
**Energy**: -9.17 eV/atom
**Energy above the lowest structure with this stoichiometry**: 0.522 eV/atom

No. 20
First-principles (meta-GGA SCAN) data for a crystal of TaIr4 relaxed with PBEsol, as listed in the Alexandria database.

The structure in POSCAR format:
```
TaIr4
1.0
3.9017 0.0000 0.0000
1.9509 4.3291 0.0000
1.9509 0.0000 4.3291
Ir Ta
4 1
Direct
0.6014 0.2026 0.5947 Ir
0.8040 0.5947 0.7974 Ir
0.3986 0.7974 0.4053 Ir
0.1960 0.4053 0.2026 Ir
0.0000 0.0000 0.0000 Ta
```

Properties
**Total magnetic moment**: 0.00 μB/cell
**Space-group type**: I4/m, No. 87
**Energy**: -70.66 eV/atom
**Energy above the lowest structure with this stoichiometry**: 0.000 eV/atom

No. 21
First-principles (meta-GGA SCAN) data for a crystal of Sc3PbSe relaxed with PBEsol, as listed in the Alexandria database.

The structure in POSCAR format:
```
Sc3PbSe
1.0
4.9368 0.0000 0.0000
0.0000 4.9368 0.0000
0.0000 0.0000 4.9368
Pb Sc Se
1 3 1
Direct
0.5000 0.5000 0.5000 Pb
0.0000 0.5000 0.0000 Sc
0.0000 0.0000 0.5000 Sc
0.5000 0.0000 0.0000 Sc
0.0000 0.0000 0.0000 Se
```

Properties
**Total magnetic moment**: 0.00 μB/cell
**Space-group type**: Pm-3m, No. 221
**ΔE_f (raw)**: -694 meV per atom
**Energy**: -28.41 eV/atom